(1)
Compound: Zn7Pt
Source: the Alexandria database
Functional: meta-GGA SCAN
Structure: single point on PBEsol structure

```
Zn7Pt
1.0
0.000 3.808 3.808
3.808 0.000 3.808
3.808 3.808 0.000
Zn Pt
7 1
Direct
0.000 0.000 0.000
0.000 0.000 0.500
0.000 0.500 0.000
0.000 0.500 0.500
0.500 0.000 0.000
0.500 0.000 0.500
0.500 0.500 0.000
0.500 0.500 0.500
```

Summary:
- Total magnetization: 0.00 μB/atom
- Energy of formation: -0.18 eV per atom
- V: 13.8 Å³ per atom
- N(E_F): 2.88 states/eV per cell
- DFT total energy: -20.78 eV per atom



(2)
Compound: Zr2ScNi
Source: the Alexandria database
Functional: meta-GGA SCAN
Structure: single point on PBEsol structure

```
Zr2ScNi
1.0
3.282 0.000 0.000
0.000 4.207 0.000
-1.413 0.000 5.536
Zr Sc Ni
2 1 1
Direct
0.000 0.000 0.000
0.404 0.500 0.729
0.805 0.000 0.452
0.405 0.500 0.222
```

Summary:
- Total magnetization: 0.00 μB/atom
- Energy of formation: -0.03 eV per atom
- V: 19.1 Å³ per atom
- N(E_F): 3.12 states/eV per cell
- Energy above the most stable polymorph in this dataset: 0.179 eV per atom
- DFT total energy: -22.98 eV per atom



(3)
Compound: CaFeCl2
Source: the Alexandria database
Functional: meta-GGA SCAN
Structure: single point on PBEsol structure

```
CaFeCl2
1.0
3.324 -4.031 0.000
3.324 4.031 0.000
-2.174 0.000 3.149
Ca Fe Cl
1 1 2
Direct
0.000 0.000 0.000
0.500 0.500 0.000
0.000 0.500 0.000
0.500 0.000 0.000
```

Summary:
- Formation energy (no corrections): -826 meV/atom
- Total magnetization: 0.72 μB/atom
- V: 21.1 Å³ per atom
- N(E_F): 1.86 states/eV per cell
- DFT total energy: -11.76 eV per atom



(4)
Compound: NbTcSb2I
Source: the Alexandria database
Functional: meta-GGA SCAN
Structure: single point on PBEsol structure

```
NbTcSb2I
1.0
4.984 0.000 0.000
0.000 4.984 0.000
0.000 0.000 5.524
Nb Tc Sb I
1 1 2 1
Direct
0.000 0.000 0.000
0.500 0.500 0.500
0.000 0.500 0.500
0.500 0.000 0.500
0.500 0.500 0.000
```

Summary:
- Formation energy (no corrections): 1025 meV/atom
- Total magnetization: 0.84 μB/atom
- V: 27.4 Å³ per atom
- N(E_F): 3.39 states/eV per cell
- DFT total energy: -34.87 eV per atom



(5)
Compound: CaSe2O6
Source: the Alexandria database
Functional: meta-GGA SCAN
Structure: single point on PBEsol structure

```
CaSe2O6
1.0
6.891 0.000 0.000
0.000 11.481 0.000
-5.556 0.000 7.014
Ca Se O
4 8 24
Direct
0.226 0.083 0.249
0.226 0.417 0.749
0.774 0.583 0.251
0.774 0.917 0.751
0.194 0.135 0.834
0.194 0.365 0.334
0.303 0.698 0.731
0.303 0.802 0.231
0.697 0.198 0.769
0.697 0.302 0.269
0.806 0.635 0.666
0.806 0.865 0.166
0.023 0.745 0.731
0.023 0.755 0.231
0.046 0.017 0.712
0.046 0.483 0.212
0.140 0.596 0.562
0.140 0.904 0.062
0.335 0.205 0.763
0.335 0.295 0.263
0.379 0.117 0.067
0.379 0.383 0.567
0.458 0.611 0.923
0.458 0.889 0.423
0.542 0.111 0.577
0.542 0.389 0.077
0.621 0.617 0.433
0.621 0.883 0.933
0.665 0.705 0.737
0.665 0.795 0.237
0.860 0.096 0.938
0.860 0.404 0.438
0.954 0.517 0.788
0.954 0.983 0.288
0.977 0.245 0.769
0.977 0.255 0.269
```

Summary:
- Formation energy (no corrections): -1439 meV/atom
- Total magnetization: 0.00 μB/atom
- V: 15.4 Å³ per atom
- N(E_F): 0.00 states/eV per cell
- DFT total energy: -11.13 eV per atom



(6)
Compound: CdIn2Ag
Source: the Alexandria database
Functional: meta-GGA SCAN
Structure: single point on PBEsol structure

```
CdIn2Ag
1.0
0.000 3.527 3.527
3.527 0.000 3.527
3.527 3.527 0.000
Cd In Ag
1 2 1
Direct
0.000 0.000 0.000
0.250 0.250 0.250
0.500 0.500 0.500
0.750 0.750 0.750
```

Summary:
- Total magnetization: 0.00 μB/atom
- Energy of formation: 0.15 eV per atom
- V: 21.9 Å³ per atom
- N(E_F): 1.68 states/eV per cell
- DFT total energy: -31.99 eV per atom



(7)
Compound: Be2AgCl
Source: the Alexandria database
Functional: meta-GGA SCAN
Structure: single point on PBEsol structure

```
Be2AgCl
1.0
2.717 -3.966 0.000
2.717 3.966 0.000
-1.186 0.000 2.707
Be Ag Cl
2 1 1
Direct
0.000 0.500 0.000
0.500 0.000 0.000
0.000 0.000 0.000
0.500 0.500 0.000
```

Summary:
- Formation energy (no corrections): 455 meV/atom
- Total magnetization: 0.00 μB/atom
- V: 14.6 Å³ per atom
- N(E_F): 0.43 states/eV per cell
- Energy above the most stable polymorph in this dataset: 0.389 eV per atom
- DFT total energy: -11.56 eV per atom



(8)
Compound: YTlP2
Source: the Alexandria database
Functional: meta-GGA SCAN
Structure: single point on PBEsol structure

```
YTlP2
1.0
4.014 0.000 0.000
0.000 1.882 5.749
0.000 -1.882 5.749
Y Tl P
1 1 2
Direct
0.000 0.000 0.000
0.500 0.756 0.756
0.000 0.303 0.303
0.500 0.533 0.533
```

Summary:
- Total magnetization: 0.00 μB/atom
- Energy of formation: -0.58 eV per atom
- V: 21.7 Å³ per atom
- N(E_F): 2.01 states/eV per cell
- Energy above the most stable polymorph in this dataset: 0.091 eV per atom
- DFT total energy: -30.83 eV per atom



(9)
Compound: La2Au
Source: the Alexandria database
Functional: meta-GGA SCAN
Structure: single point on PBEsol structure

```
La2Au
1.0
7.269 0.000 0.000
0.000 5.084 0.000
0.000 0.000 9.348
La Au
8 4
Direct
0.001 0.250 0.179
0.158 0.750 0.411
0.342 0.250 0.911
0.499 0.750 0.679
0.501 0.250 0.321
0.658 0.750 0.089
0.842 0.250 0.589
0.999 0.750 0.821
0.241 0.750 0.091
0.259 0.250 0.591
0.741 0.750 0.409
0.759 0.250 0.909
```

Summary:
- Total magnetization: 0.00 μB/atom
- Energy of formation: -0.79 eV per atom
- V: 28.8 Å³ per atom
- N(E_F): 10.48 states/eV per cell
- DFT total energy: -52.57 eV per atom



(10)
Compound: LiOs2Cl
Source: the Alexandria database
Functional: meta-GGA SCAN
Structure: single point on PBEsol structure

```
LiOs2Cl
1.0
3.012 0.000 0.000
0.000 3.012 0.000
0.000 0.000 6.292
Li Os Cl
1 2 1
Direct
0.000 0.000 0.000
0.500 0.500 0.183
0.500 0.500 0.817
0.000 0.000 0.500
```

Summary:
- Formation energy (no corrections): 1020 meV/atom
- Total magnetization: 0.00 μB/atom
- V: 14.3 Å³ per atom
- N(E_F): 1.95 states/eV per cell
- Energy above the most stable polymorph in this dataset: 0.958 eV per atom
- DFT total energy: -37.51 eV per atom



(11)
Compound: HPtI2
Source: the Alexandria database
Functional: meta-GGA SCAN
Structure: single point on PBEsol structure

```
HPtI2
1.0
-2.847 2.847 5.657
2.847 -2.847 5.657
2.847 2.847 -5.657
H Pt I
2 2 4
Direct
0.000 0.000 0.000
0.750 0.250 0.500
0.250 0.750 0.500
0.500 0.500 0.000
0.084 0.625 0.959
0.375 0.334 0.459
0.666 0.125 0.041
0.875 0.916 0.541
```

Summary:
- Total magnetization: 0.00 μB/atom
- V: 22.9 Å³ per atom
- N(E_F): 5.59 states/eV per cell
- Energy above the most stable polymorph in this dataset: 0.000 eV per atom
- DFT total energy: -36.27 eV per atom



(12)
Compound: La3CoPb
Source: the Alexandria database
Functional: meta-GGA SCAN
Structure: single point on PBEsol structure

```
La3CoPb
1.0
5.228 0.000 0.000
0.000 5.228 0.000
0.000 0.000 5.228
La Co Pb
3 1 1
Direct
0.000 0.000 0.500
0.000 0.500 0.000
0.500 0.000 0.000
0.000 0.000 0.000
0.500 0.500 0.500
```

Summary:
- Total magnetization: 0.00 μB/atom
- Energy of formation: -0.50 eV per atom
- V: 28.6 Å³ per atom
- N(E_F): 2.86 states/eV per cell
- DFT total energy: -44.98 eV per atom